VASP calculation (SCAN) on YMg2CuHg at its PBEsol-relaxed geometry.

Output
For the formation enthalpy at 0 K, the calculation gives 14.2 kJ/mol of atoms. For the density of states at the Fermi level, the calculation gives 2.63 states/eV per cell.

abc: 5.0108 5.0108 4.8572
angles: 90.00 90.00 90.00
Sites, in units of the cell vectors:
Y 0.0000 0.0000 0.0000
Mg 0.0000 0.5000 0.5000
Mg 0.5000 0.0000 0.5000
Cu 0.5000 0.5000 0.0000
Hg 0.5000 0.5000 0.5000